1.
A plane-wave DFT calculation with PBE with a Hubbard U was carried out for an optimized crystal structure of LiVS2O8. Values from VASP.

Cell and atoms, written as Quantum ESPRESSO input:
```
&SYSTEM
  ibrav = 0, nat = 96, ntyp = 4
/
ATOMIC_SPECIES
O 16.00 O.upf
Li 6.94 Li.upf
S 32.06 S.upf
V 50.94 V.upf
ATOMIC_POSITIONS crystal
O 0.030 0.195 0.985
O 0.502 0.023 0.150
O 0.473 0.679 0.018
O 0.994 0.512 0.852
O 0.534 0.024 0.677
O 0.306 0.987 0.524
O 0.736 0.594 0.725
O 0.720 0.821 0.079
O 0.003 0.020 0.650
O 0.993 0.224 0.285
O 0.524 0.314 0.987
O 0.273 0.923 0.214
O 0.705 0.502 0.026
O 0.718 0.257 0.095
O 0.225 0.685 0.078
O 0.277 0.681 0.578
O 0.506 0.986 0.853
O 0.990 0.488 0.143
O 0.982 0.981 0.354
O 0.255 0.223 0.594
O 0.464 0.190 0.487
O 0.269 0.414 0.279
O 0.006 0.267 0.782
O 0.298 0.496 0.970
O 0.496 0.777 0.219
O 0.230 0.918 0.720
O 0.777 0.820 0.580
O 0.968 0.803 0.017
O 0.474 0.473 0.177
O 0.520 0.487 0.644
O 0.238 0.228 0.092
O 0.533 0.525 0.821
O 0.719 0.314 0.428
O 0.489 0.520 0.353
O 0.698 0.008 0.478
O 0.276 0.178 0.918
O 0.278 0.740 0.907
O 0.971 0.317 0.485
O 0.471 0.975 0.324
O 0.794 0.503 0.532
O 0.772 0.313 0.922
O 0.769 0.592 0.220
O 0.024 0.469 0.677
O 0.804 0.005 0.976
O 0.995 0.730 0.220
O 0.219 0.178 0.421
O 0.767 0.765 0.907
O 0.007 0.774 0.712
O 0.192 0.991 0.021
O 0.974 0.525 0.320
O 0.535 0.802 0.507
O 0.493 0.274 0.284
O 0.763 0.090 0.279
O 0.234 0.728 0.404
O 0.785 0.258 0.598
O 0.748 0.772 0.405
O 0.731 0.085 0.779
O 0.030 0.683 0.511
O 0.507 0.229 0.783
O 0.030 0.973 0.824
O 0.507 0.730 0.714
O 0.224 0.419 0.783
O 0.204 0.488 0.474
O 0.962 0.021 0.178
Li 0.772 0.050 0.627
Li 0.729 0.048 0.127
Li 0.974 0.770 0.372
Li 0.783 0.562 0.874
Li 0.294 0.942 0.878
Li 0.454 0.725 0.376
Li 0.449 0.237 0.125
Li 0.044 0.236 0.624
S 0.564 0.079 0.777
S 0.064 0.923 0.724
S 0.433 0.426 0.278
S 0.692 0.846 0.489
S 0.683 0.344 0.010
S 0.567 0.578 0.720
S 0.935 0.575 0.220
S 0.436 0.928 0.224
S 0.812 0.347 0.512
S 0.185 0.153 0.008
S 0.931 0.077 0.278
S 0.061 0.423 0.778
S 0.315 0.653 0.991
S 0.191 0.646 0.491
S 0.815 0.843 0.990
S 0.308 0.148 0.509
V 0.108 0.357 0.373
V 0.893 0.639 0.625
V 0.894 0.139 0.875
V 0.608 0.641 0.126
V 0.390 0.363 0.872
V 0.602 0.144 0.379
V 0.395 0.856 0.624
V 0.105 0.856 0.125
CELL_PARAMETERS angstrom
-8.803 -2.314 0.000
0.044 -0.289 -9.294
3.443 -13.370 0.368
```

Offset from the most stable computed form in eV/atom: 0.005

2.
A plane-wave DFT calculation with PBE with a Hubbard U was carried out for an optimized crystal structure of Li2V2S3O12. Values from VASP.

Cell and atoms, written as Quantum ESPRESSO input:
```
&SYSTEM
  ibrav = 0, nat = 76, ntyp = 4
/
ATOMIC_SPECIES
O 16.00 O.upf
Li 6.94 Li.upf
S 32.06 S.upf
V 50.94 V.upf
ATOMIC_POSITIONS crystal
O 0.167 0.481 0.221
O 0.854 0.067 0.040
O 0.667 0.481 0.279
O 0.064 0.392 0.838
O 0.829 0.248 0.184
O 0.329 0.248 0.316
O 0.329 0.252 0.684
O 0.346 0.173 0.078
O 0.960 0.859 0.440
O 0.540 0.141 0.940
O 0.671 0.748 0.316
O 0.833 0.519 0.779
O 0.846 0.327 0.578
O 0.346 0.327 0.922
O 0.540 0.359 0.060
O 0.436 0.892 0.662
O 0.154 0.827 0.578
O 0.829 0.252 0.816
O 0.064 0.108 0.162
O 0.667 0.019 0.721
O 0.040 0.141 0.560
O 0.146 0.567 0.040
O 0.333 0.981 0.279
O 0.671 0.752 0.684
O 0.167 0.019 0.779
O 0.936 0.892 0.838
O 0.564 0.392 0.662
O 0.154 0.673 0.422
O 0.460 0.641 0.940
O 0.846 0.173 0.422
O 0.171 0.748 0.184
O 0.460 0.859 0.060
O 0.854 0.433 0.960
O 0.146 0.933 0.960
O 0.354 0.067 0.460
O 0.936 0.608 0.162
O 0.171 0.752 0.816
O 0.333 0.519 0.721
O 0.833 0.981 0.221
O 0.960 0.641 0.560
O 0.564 0.108 0.338
O 0.654 0.827 0.922
O 0.654 0.673 0.078
O 0.436 0.608 0.338
O 0.646 0.567 0.460
O 0.354 0.433 0.540
O 0.040 0.359 0.440
O 0.646 0.933 0.540
Li 0.712 0.225 0.681
Li 0.212 0.225 0.819
Li 0.788 0.725 0.819
Li 0.788 0.775 0.181
Li 0.712 0.275 0.319
Li 0.288 0.725 0.681
Li 0.288 0.775 0.319
Li 0.212 0.275 0.181
S 0.449 0.250 0.000
S 0.606 0.601 0.350
S 0.551 0.750 0.000
S 0.894 0.101 0.150
S 0.894 0.399 0.850
S 0.051 0.750 0.500
S 0.949 0.250 0.500
S 0.106 0.899 0.850
S 0.394 0.101 0.350
S 0.106 0.601 0.150
S 0.606 0.899 0.650
S 0.394 0.399 0.650
V 0.253 0.958 0.112
V 0.753 0.542 0.612
V 0.247 0.458 0.388
V 0.253 0.542 0.888
V 0.753 0.958 0.388
V 0.747 0.042 0.888
V 0.747 0.458 0.112
V 0.247 0.042 0.612
CELL_PARAMETERS angstrom
8.735 0.000 0.000
0.000 8.984 0.000
0.000 0.000 12.572
```

Electronic total energy in eV per cell: -491.32